Compound: Hf4Sc
Source: Alexandria via LeMat-Bulk
Functional: PBE
Structure: optimized geometry

Output
The calculation puts the relative energy among the computed polymorphs at 0 meV/atom.

abc: 3.1741 3.1741 13.1192
angles: 96.84 96.84 60.00
With the nearest neighbours (Å) after each atom.
Fractional coordinates of all 5 atoms:
Hf: 0.0963 0.0963 0.2945  9 Hf 3.13-3.17, 3 Sc 3.23-3.25
Hf: 0.3013 0.3013 0.9008  12 Hf 3.13-3.17
Hf: 0.6987 0.6987 0.0992  12 Hf 3.13-3.17
Hf: 0.9037 0.9037 0.7055  9 Hf 3.13-3.17, 3 Sc 3.23-3.25
Sc: 0.5000 0.5000 0.5000  6 Sc 3.17, 6 Hf 3.23-3.25